Ni21B6Mo2 | PBE-GGA | optimized geometry

Results
The space-group type is No. 225. The density of states at the Fermi level is 20.9 states/eV/f.u. As for the final energy: -189.8 eV per formula unit. Its crystal system is cubic. The value obtained for the calculated formation energy is -0.23 eV per atom.

POSCAR file:
```
Ni21B6Mo2
1.0
0.000 5.250 5.250
5.250 0.000 5.250
5.250 5.250 0.000
Ni B Mo
21 6 2
direct
0.000 0.000 0.000
0.000 0.000 0.341
0.000 0.000 0.659
0.000 0.341 0.000
0.000 0.341 0.659
0.000 0.659 0.000
0.000 0.659 0.341
0.150 0.617 0.617
0.341 0.000 0.000
0.341 0.000 0.659
0.341 0.659 0.000
0.383 0.383 0.383
0.383 0.383 0.850
0.383 0.850 0.383
0.617 0.150 0.617
0.617 0.617 0.150
0.617 0.617 0.617
0.659 0.000 0.000
0.659 0.000 0.341
0.659 0.341 0.000
0.850 0.383 0.383
0.267 0.267 0.733
0.267 0.733 0.267
0.267 0.733 0.733
0.733 0.267 0.267
0.733 0.267 0.733
0.733 0.733 0.267
0.250 0.250 0.250
0.750 0.750 0.750
```

Ni3B2Mo2 | PBE-GGA | optimized geometry

Results
The space-group type is No. 65. The density of states at the Fermi level is 5.1 states/eV/f.u. As for the final energy: -54.1 eV per formula unit. Its crystal system is orthorhombic. The value obtained for the calculated formation energy is -0.25 eV per atom.

POSCAR file:
```
Ni3B2Mo2
1.0
1.519 -7.795 0.000
1.519 7.795 0.000
0.000 0.000 3.174
Ni B Mo
3 2 2
direct
0.000 0.000 0.000
0.422 0.578 0.500
0.578 0.422 0.500
0.281 0.719 0.500
0.719 0.281 0.500
0.172 0.828 0.000
0.828 0.172 0.000
```

Ni2BMo | PBE-GGA | optimized geometry

Results
The space-group type is No. 122. The density of states at the Fermi level is 2.4 states/eV/f.u. As for the final energy: -28.0 eV per formula unit. Its crystal system is tetragonal. The value obtained for the calculated formation energy is 0.26 eV per atom.

POSCAR file:
```
Ni2BMo
1.0
-1.643 1.643 8.455
1.643 -1.643 8.455
1.643 1.643 -8.455
Ni B Mo
4 2 2
direct
0.106 0.625 0.981
0.375 0.356 0.481
0.644 0.125 0.019
0.875 0.894 0.519
0.000 0.000 0.000
0.750 0.250 0.500
0.250 0.750 0.500
0.500 0.500 0.000
```

NiBMo2 | PBE-GGA | optimized geometry

Results
The space-group type is No. 122. The density of states at the Fermi level is 2.9 states/eV/f.u. As for the final energy: -32.9 eV per formula unit. Its crystal system is tetragonal. Its relative energy among the computed polymorphs is 227 meV per atom. The value obtained for the calculated formation energy is 0.30 eV per atom.

POSCAR file:
```
NiBMo2
1.0
-3.134 3.134 2.618
3.134 -3.134 2.618
3.134 3.134 -2.618
Ni B Mo
2 2 4
direct
0.000 0.000 0.000
0.750 0.250 0.500
0.250 0.750 0.500
0.500 0.500 0.000
0.161 0.625 0.036
0.375 0.411 0.536
0.589 0.125 0.964
0.875 0.839 0.464
```

NiBMo3 | PBE-GGA | optimized geometry

Results
The space-group type is No. 221. The density of states at the Fermi level is 3.4 states/eV/f.u. As for the final energy: -43.4 eV per formula unit. Its crystal system is cubic. Its relative energy among the computed polymorphs is 0 meV per atom. The value obtained for the calculated formation energy is 0.31 eV per atom.

POSCAR file:
```
NiBMo3
1.0
4.136 0.000 0.000
0.000 4.136 0.000
0.000 0.000 4.136
Ni B Mo
1 1 3
direct
0.000 0.000 0.000
0.500 0.500 0.500
0.000 0.500 0.500
0.500 0.000 0.500
0.500 0.500 0.000
```

NiB2Mo | PBE-GGA | optimized geometry

Results
The space-group type is No. 225. The density of states at the Fermi level is 2.2 states/eV/f.u. As for the final energy: -29.0 eV per formula unit. Its crystal system is cubic. Its relative energy among the computed polymorphs is 632 meV per atom. The value obtained for the calculated formation energy is 0.25 eV per atom.

POSCAR file:
```
NiB2Mo
1.0
0.000 2.670 2.670
2.670 0.000 2.670
2.670 2.670 0.000
Ni B Mo
1 2 1
direct
0.000 0.000 0.000
0.250 0.250 0.250
0.750 0.750 0.750
0.500 0.500 0.500
```

NiBMo2 | PBE-GGA | optimized geometry

Results
The space-group type is No. 69. The density of states at the Fermi level is 2.2 states/eV/f.u. As for the final energy: -33.8 eV per formula unit. Its crystal system is orthorhombic. Its relative energy among the computed polymorphs is 0 meV per atom. The value obtained for the calculated formation energy is 0.07 eV per atom.

POSCAR file:
```
NiBMo2
1.0
0.000 3.615 3.931
3.405 0.000 3.931
3.405 3.615 0.000
Ni B Mo
2 2 4
direct
0.177 0.823 0.177
0.823 0.177 0.823
0.221 0.221 0.779
0.779 0.779 0.221
0.250 0.250 0.250
0.312 0.688 0.688
0.688 0.312 0.312
0.750 0.750 0.750
```

NiB2Mo | PBE-GGA | optimized geometry

Results
The space-group type is No. 11. The density of states at the Fermi level is 1.3 states/eV/f.u. As for the final energy: -31.4 eV per formula unit. Its crystal system is monoclinic. Its relative energy among the computed polymorphs is 31 meV per atom. The value obtained for the calculated formation energy is -0.35 eV per atom.

POSCAR file:
```
NiB2Mo
1.0
3.710 0.000 0.000
0.000 3.046 0.000
-0.806 0.000 6.626
Ni B Mo
2 4 2
direct
0.083 0.250 0.363
0.917 0.750 0.637
0.010 0.250 0.063
0.392 0.750 0.526
0.608 0.250 0.474
0.990 0.750 0.937
0.462 0.250 0.818
0.538 0.750 0.182
```